The following is a GGA-PBE calculation of a relaxed Pa3H12Pt5 crystal, from the Alexandria database.

a b c (Å): 10.3762 10.3762 10.3762
angles (deg): 109.47 109.47 109.47
Site moments in Bohr magnetons follow the coordinates.
Sites, in units of the cell vectors:
H: 0.6908 0.1062 0.0159  0.00
H: 0.3251 0.5159 0.4097  0.00
H: 0.9841 0.3938 0.3092  0.00
H: 0.5159 0.1908 0.1062  0.00
H: 0.5845 0.6908 0.6749  0.00
H: 0.9841 0.5903 0.1749  0.00
H: 0.3251 0.8092 0.4155  0.00
H: 0.0903 0.9155 0.1062  0.00
H: 0.5903 0.9841 0.6749  0.00
H: 0.6908 0.5845 0.1749  0.00
H: 0.8092 0.4841 0.3938  0.00
H: 0.8251 0.9097 0.0159  0.00
H: 0.1062 0.6908 0.5159  0.00
H: 0.3938 0.4097 0.0845  0.00
H: 0.0845 0.9097 0.3938  0.00
H: 0.4155 0.1062 0.5903  0.00
H: 0.0845 0.1749 0.1908  0.00
H: 0.4841 0.6749 0.0903  0.00
H: 0.8251 0.9155 0.3092  0.00
H: 0.1062 0.4155 0.0903  0.00
H: 0.3938 0.9841 0.8092  0.00
H: 0.5903 0.6062 0.4155  0.00
H: 0.9097 0.8251 0.5159  0.00
H: 0.8092 0.3251 0.9155  0.00
H: 0.4097 0.3938 0.5845  0.00
H: 0.0903 0.1749 0.4841  0.00
H: 0.1908 0.6749 0.0845  0.00
H: 0.1749 0.0845 0.6908  0.00
H: 0.6062 0.0159 0.1908  0.00
H: 0.8938 0.5845 0.9097  0.00
H: 0.5159 0.3251 0.9097  0.00
H: 0.5845 0.8938 0.4097  0.00
H: 0.9155 0.8251 0.8092  0.00
H: 0.9155 0.0903 0.6062  0.00
H: 0.8938 0.3092 0.4841  0.00
H: 0.1749 0.0903 0.9841  0.00
H: 0.6062 0.5903 0.9155  0.00
H: 0.4097 0.0159 0.3251  0.00
H: 0.3092 0.4155 0.8251  0.00
H: 0.1908 0.5159 0.6062  0.00
H: 0.9097 0.0845 0.8938  0.00
H: 0.6749 0.1908 0.5845  0.00
H: 0.4841 0.8092 0.8938  0.00
H: 0.0159 0.4097 0.8251  0.00
H: 0.4155 0.3092 0.3251  0.00
H: 0.0159 0.6062 0.6908  0.00
H: 0.6749 0.4841 0.5903  0.00
H: 0.3092 0.8938 0.9841  0.00
Pa: 0.7500 0.3750 0.1250  0.94
Pa: 0.8750 0.7500 0.1250  0.94
Pa: 0.3750 0.7500 0.6250  0.94
Pa: 0.2500 0.1250 0.3750  0.94
Pa: 0.8750 0.1250 0.2500  0.94
Pa: 0.3750 0.6250 0.2500  0.94
Pa: 0.6250 0.3750 0.7500  0.94
Pa: 0.1250 0.8750 0.7500  0.94
Pa: 0.7500 0.8750 0.6250  0.94
Pa: 0.6250 0.2500 0.3750  0.94
Pa: 0.1250 0.2500 0.8750  0.94
Pa: 0.2500 0.6250 0.8750  0.94
Pt: 0.1250 0.3750 0.2500  0.03
Pt: 0.0000 0.5000 0.0000  0.08
Pt: 0.0000 0.0000 0.0000  0.08
Pt: 0.3750 0.2500 0.1250  0.03
Pt: 0.5000 0.0000 0.5000  0.08
Pt: 0.5000 0.5000 0.0000  0.08
Pt: 0.1250 0.7500 0.3750  0.03
Pt: 0.7500 0.1250 0.8750  0.03
Pt: 0.7500 0.6250 0.3750  0.03
Pt: 0.3750 0.1250 0.7500  0.03
Pt: 0.6250 0.8750 0.2500  0.03
Pt: 0.5000 0.5000 0.5000  0.08
Pt: 0.5000 0.0000 0.0000  0.08
Pt: 0.0000 0.0000 0.5000  0.08
Pt: 0.2500 0.3750 0.6250  0.03
Pt: 0.2500 0.8750 0.1250  0.03
Pt: 0.0000 0.5000 0.5000  0.08
Pt: 0.8750 0.2500 0.6250  0.03
Pt: 0.6250 0.7500 0.8750  0.03
Pt: 0.8750 0.6250 0.7500  0.03

Summary:
SG = Ia-3d, No. 230
ρ = 13.0 g/cm3
calculated total energy = -5.07 eV per atom